First-principles (PBE) data for a relaxed YCrSi2 crystal, as listed in Alexandria.

As for the density: 3.85 g cm⁻³. Its formation energy from raw total energies is -0.01 eV per atom. The calculation puts the energy at -6.7410 eV/atom. The calculation puts the volume at 340 Å³ per cell. For the total magnetization, the calculation gives 0.255 μB per atom.

Lattice parameters (Å, degrees): 4.6717 4.6717 15.5660 90.00 90.00 90.00
Space group I-42d (No. 122)
Symmetry-distinct sites (fractional):
Y  0.0000  0.0000  0.0000 [4 per cell]
Cr  0.0000  0.0000  0.5000 [4 per cell]
Si  0.0435  0.2500  0.6250 [8 per cell]